Material: Cd2SiAu
Method: DFT, GGA-PBE
State: relaxed

Output
Formation energy without anion corrections (meV per atom): 173
SG: No. 123
M_tot (Bohr magnetons per cell): 0.00

Lattice parameters (Å, degrees): 3.0592 3.0592 8.4150 90.00 90.00 89.98
Closest atoms and distances in Å follow each position.
Element x y z (fractional)
Au 0.5000 0.5000 0.7500  8 Cd 3.00, 4 Au 3.06
Cd 0.0000 0.0000 0.9974  4 Au 3.00, 4 Si 3.03, 4 Cd 3.06
Cd 0.0000 0.0000 0.5026  4 Au 3.00, 4 Si 3.03, 4 Cd 3.06
Si 0.5000 0.5000 0.2500  8 Cd 3.03, 4 Si 3.06

---

Material: CdSi2Au8
Method: DFT, GGA-PBE
State: relaxed

Output
Formation energy without anion corrections (meV per atom): -23
SG: No. 1
M_tot (Bohr magnetons per cell): 0.00

Lattice parameters (Å, degrees): 4.9842 6.2802 7.4081 110.90 103.72 101.55
Closest atoms and distances in Å follow each position.
Element x y z (fractional)
Cd 0.0915 0.9096 0.9090  10 Au 2.87-3.09
Si 0.8270 0.5292 0.2249  8 Au 2.55-2.76
Si 0.3544 0.2887 0.5932  8 Au 2.55-2.77
Au 0.7832 0.2721 0.8512  2 Si 2.55-2.59, 1 Au 2.86
Au 0.8994 0.9451 0.5181  2 Si 2.59-2.62, 3 Au 2.78-2.89
Au 0.2962 0.3722 0.2674  3 Si 2.61-2.76, 2 Au 2.91-2.92
Au 0.7006 0.0605 0.1392  1 Si 2.68, 2 Cd 2.87-2.96, 5 Au 2.89-2.95
Au 0.2817 0.8730 0.2997  2 Si 2.59-2.62, 3 Au 2.78-2.89
Au 0.8860 0.4463 0.5511  3 Si 2.61-2.77, 2 Au 2.91-2.92
Au 0.3980 0.5459 0.9669  2 Si 2.55-2.59, 1 Au 2.86
Au 0.4820 0.7575 0.6793  1 Si 2.68, 2 Cd 2.87-2.96, 5 Au 2.89-2.95

---

Material: Cd2SiAu
Method: DFT, GGA-PBE
State: relaxed

Output
Formation energy without anion corrections (meV per atom): 169
SG: No. 166
M_tot (Bohr magnetons per cell): 0.00

Lattice parameters (Å, degrees): 10.7375 10.7375 10.7375 15.68 15.68 15.68
Closest atoms and distances in Å follow each position.
Element x y z (fractional)
Au 0.7500 0.7500 0.7500  6 Au 2.93, 6 Cd 3.06
Cd 0.0030 0.0030 0.0030  6 Cd 2.93, 3 Au 3.06, 3 Si 3.23
Cd 0.4970 0.4970 0.4970  6 Cd 2.93, 3 Au 3.06, 3 Si 3.23
Si 0.2500 0.2500 0.2500  6 Si 2.93, 6 Cd 3.23

---

Material: Cd2SiAu3
Method: DFT, GGA-PBE
State: relaxed

Output
Formation energy without anion corrections (meV per atom): -84
SG: No. 2
M_tot (Bohr magnetons per cell): 0.00

Lattice parameters (Å, degrees): 5.5991 7.3309 6.6841 107.52 112.75 89.36
Closest atoms and distances in Å follow each position.
Element x y z (fractional)
Cd 0.2578 0.3916 0.5671  6 Au 2.91-3.08, 1 Si 2.94, 1 Cd 3.23
Cd 0.2842 0.9133 0.6721  6 Au 2.84-2.97
Cd 0.7158 0.0867 0.3279  6 Au 2.84-2.97
Cd 0.7422 0.6084 0.4329  6 Au 2.91-3.08, 1 Si 2.94, 1 Cd 3.23
Si 0.1853 0.2657 0.0848  5 Au 2.44-2.69
Si 0.8147 0.7343 0.9152  5 Au 2.44-2.69
Au 0.4448 0.7063 0.0147  1 Si 2.44
Au 0.5552 0.2937 0.9853  1 Si 2.44
Au 0.8234 0.0007 0.7571  2 Si 2.49-2.60
Au 0.1459 0.6100 0.2499  2 Si 2.48-2.69
Au 0.8541 0.3900 0.7501  2 Si 2.48-2.69
Au 0.1766 0.9993 0.2429  2 Si 2.49-2.60

---

Number 1: density of states at the Fermi level 1.1 states/eV/f.u., electronic total energy -2.4597 eV/atom. Number 2: density of states at the Fermi level 3.7 states/eV/f.u., electronic total energy -3.4759 eV/atom. Number 3: density of states at the Fermi level 1.6 states/eV/f.u., electronic total energy -2.4639 eV/atom. Number 4: density of states at the Fermi level 1.7 states/eV/f.u., electronic total energy -2.9314 eV/atom.